4
Lattice="-1.4587 -1.9167 -3.2051 0.9355 -3.5187 1.6785 -7.3007 -0.2771 3.4883" Properties=species:S:1:pos:R:3 comment="PrEr2Tm (PBE, optimized geometry)" volume_a3_per_cell=130.1 magnetic_moment_mub_per_atom=0.00 sg="No. 123" ef_mev_per_atom=113 pbc="T T T"
Er -5.6229 -0.2134 2.6867
Er -1.6778 -0.0637 0.8017
Tm -0.2616 -2.7177 -0.7633
Pr -3.9119 -2.8563 0.9809